Record 1
DFT (PBE) results for crystalline Pm2Ho3Er6 at its relaxed geometry.

Calculated values
Formation enthalpy at 0 K in eV per formula unit: 2.07
Density of states at the Fermi level in states/eV per cell: 18.073

POSCAR file:
```
Pm2Ho3Er6
1.0
-1.799 5.440 1.985
-4.682 2.802 -2.662
-7.794 -3.216 7.994
Er Ho Pm
6 3 2
Cartesian
-7.577 -1.038 5.295
-2.378 0.568 2.474
-6.697 6.064 2.022
-9.737 1.710 5.070
-7.215 1.656 7.505
-4.538 3.317 2.247
-2.148 2.747 -0.214
-4.333 5.495 -0.463
0.000 0.000 0.000
-6.955 3.859 4.765
-7.319 1.167 2.552
```



Record 2
DFT (PBE) results for crystalline Zr2ScFe at its relaxed geometry.

Calculated values
Formation enthalpy at 0 K in eV per formula unit: 0.42
Density of states at the Fermi level in states/eV per cell: 4.360

POSCAR file:
```
Zr2ScFe
1.0
-1.751 2.855 2.757
-2.927 -0.559 -1.280
-2.293 -4.361 3.061
Zr Fe Sc
2 1 1
Cartesian
-2.933 -0.575 -1.267
-2.485 0.022 1.811
-2.605 -2.415 0.847
-4.485 -2.117 2.756
```



Record 3
DFT (PBE) results for crystalline TmBe2Co2B at its relaxed geometry.

Calculated values
Formation enthalpy at 0 K in eV per formula unit: -1.92
Density of states at the Fermi level in states/eV per cell: 2.321

POSCAR file:
```
TmBe2Co2B
1.0
3.754 0.000 0.000
0.000 3.754 0.000
0.000 0.000 5.079
Be Co B Tm
2 2 1 1
Cartesian
1.877 1.877 3.764
1.877 1.877 1.315
1.877 0.000 0.000
0.000 1.877 0.000
0.000 0.000 0.000
0.000 0.000 2.539
```



Record 4
DFT (PBE) results for crystalline ZrCrTe2 at its relaxed geometry.

Calculated values
Density of states at the Fermi level in states/eV per cell: 4.440
Energy relative to the elements, uncorrected in meV/atom: -265

POSCAR file:
```
ZrCrTe2
1.0
7.718 -0.449 -0.266
6.944 3.400 -0.266
6.944 1.398 3.111
Zr Cr Te
1 1 2
Cartesian
5.401 1.087 0.645
16.204 3.261 1.934
0.080 0.016 0.010
10.723 2.158 1.280
```



Record 5
DFT (PBE) results for crystalline Rb3CdPb at its relaxed geometry.

Calculated values
Formation enthalpy at 0 K in eV per formula unit: -0.05
Density of states at the Fermi level in states/eV per cell: 5.909

POSCAR file:
```
Rb3CdPb
1.0
9.397 -0.094 -0.185
-2.661 9.012 0.185
-3.923 -4.040 6.423
Rb Pb Cd
6 2 2
Cartesian
-2.036 1.538 5.246
2.919 1.986 5.000
-3.773 5.661 5.185
6.586 -0.783 1.238
4.849 3.341 1.177
-0.106 2.892 1.424
2.907 -2.196 4.701
-0.095 7.074 1.722
2.193 5.346 3.125
0.620 -0.468 3.298
```